[1]
Entry from Alexandria via LeMat-Bulk: a geometry-optimized Cr2NiRu2 structure (GGA-PBE).

```
data_Cr2NiRu2
_symmetry_space_group_name_H-M 'P 4/m b m'
_symmetry_Int_Tables_number 127
_symmetry_space_group_name_Hall '-P 4 2ab'
_cell_length_a 6.968
_cell_length_b 6.968
_cell_length_c 2.726
_cell_angle_alpha 90.00
_cell_angle_beta 90.00
_cell_angle_gamma 90.00
loop_
_atom_site_label
_atom_site_fract_x
_atom_site_fract_y
_atom_site_fract_z
Cr1 0.132 0.368 0.000
Ni1 0.000 0.000 0.000
Ru1 0.165 0.665 0.500
```

Values from the calculation:
Final energy   -42.22 eV per formula unit
Offset from the most stable computed form   0 meV/atom
Magnetic moment   0.00 μB/cell
Fermi-level density of states   10.71 states/eV/cell
Crystal system   tetragonal



[2]
Entry from Alexandria via LeMat-Bulk: a geometry-optimized Sc2Co5SnB2 structure (GGA-PBE).

```
data_Sc2Co5SnB2
_symmetry_space_group_name_H-M 'P 4/m b m'
_symmetry_Int_Tables_number 127
_symmetry_space_group_name_Hall '-P 4 2ab'
_cell_length_a 8.842
_cell_length_b 8.842
_cell_length_c 3.061
_cell_angle_alpha 90.00
_cell_angle_beta 90.00
_cell_angle_gamma 90.00
loop_
_atom_site_label
_atom_site_fract_x
_atom_site_fract_y
_atom_site_fract_z
Sc1 0.176 0.324 0.000
Co1 0.000 0.500 0.500
Co2 0.070 0.770 0.500
Sn1 0.000 0.000 0.000
B1 0.117 0.617 0.000
```

Values from the calculation:
Final energy   -70.73 eV per formula unit
Magnetic moment   0.00 μB/cell
Fermi-level density of states   7.01 states/eV/cell
Crystal system   tetragonal



Q: The lowest Fermi-level density of states belongs to which entry?
A: Sc2Co5SnB2